# 1
PmScAg: optimized geometry, PBE.

Structure (CIF):
```
data_PmScAg
_chemical_formula_sum 'Pm2 Sc2 Ag2'
_symmetry_space_group_name_H-M 'I 4 m m'
_symmetry_Int_Tables_number 107
_symmetry_space_group_name_Hall 'I 4 -2'
_cell_length_a 3.509
_cell_length_b 3.509
_cell_length_c 12.342
_cell_angle_alpha 90.00
_cell_angle_beta 90.00
_cell_angle_gamma 90.00
loop_
_atom_site_label
_atom_site_type_symbol
_atom_site_fract_x
_atom_site_fract_y
_atom_site_fract_z
Pm1 Pm 0.000 0.000 0.000
Sc1 Sc 0.000 0.000 0.302
Ag1 Ag 0.000 0.000 0.677
```

Calculated values
DFT formation energy = -0.1382 eV/atom
E = -4.78 eV per atom
Volume = 25.33 A^3/atom
Polymorph energy (0 for the lowest one) = 16 meV/atom

# 2
TaTl2Cu: optimized geometry, PBE.

Structure (CIF):
```
data_TaTl2Cu
_chemical_formula_sum 'Ta1 Tl2 Cu1'
_symmetry_space_group_name_H-M 'P 4/m m m'
_symmetry_Int_Tables_number 123
_symmetry_space_group_name_Hall '-P 4 2'
_cell_length_a 3.046
_cell_length_b 3.046
_cell_length_c 8.519
_cell_angle_alpha 90.00
_cell_angle_beta 90.00
_cell_angle_gamma 90.00
loop_
_atom_site_label
_atom_site_type_symbol
_atom_site_fract_x
_atom_site_fract_y
_atom_site_fract_z
Ta1 Ta 0.000 0.000 0.000
Tl1 Tl 0.500 0.500 0.267
Cu1 Cu 0.000 0.000 0.500
```

Calculated values
DFT formation energy = 0.5919 eV/atom
E = -4.58 eV per atom
Volume = 19.76 A^3/atom
Polymorph energy (0 for the lowest one) = 163 meV/atom

# 3
AcTbPr4Tm2: optimized geometry, PBE.

Structure (CIF):
```
data_AcTbPr4Tm2
_chemical_formula_sum 'Ac2 Tb2 Pr8 Tm4'
_symmetry_space_group_name_H-M 'C 1 2/m 1'
_symmetry_Int_Tables_number 12
_cell_length_a 11.587
_cell_length_b 5.207
_cell_length_c 10.436
_cell_angle_alpha 90.00
_cell_angle_beta 116.84
_cell_angle_gamma 90.00
loop_
_symmetry_equiv_pos_as_xyz
'x,y,z'
'-x,-y,-z'
'-x,y,-z'
'x,-y,z'
'x+1/2,y+1/2,z'
'-x+1/2,-y+1/2,-z'
'-x+1/2,y+1/2,-z'
'x+1/2,-y+1/2,z'
loop_
_atom_site_label
_atom_site_type_symbol
_atom_site_fract_x
_atom_site_fract_y
_atom_site_fract_z
Ac1 Ac 0.000 0.000 0.000
Tb1 Tb 0.000 0.000 0.500
Pr1 Pr 0.247 0.000 0.869
Pr2 Pr 0.249 0.500 0.622
Tm1 Tm 0.001 0.500 0.743
```

Calculated values
DFT formation energy = 0.0348 eV/atom
E = -4.57 eV per atom
Volume = 35.11 A^3/atom